[1]
Pr2Ho3Tm | PBE | optimized geometry

```
12
Lattice="-1.579 -4.569 1.607 8.455 -5.408 1.007 8.949 -2.841 8.793" Properties=species:S:1:pos:R:3 pbc="T T T"
Pr 9.956 -9.007 8.402
Pr 5.869 -3.812 3.004
Pr 6.049 -5.596 6.186
Pr 9.776 -7.223 5.221
Ho 15.982 -8.116 8.783
Ho -0.158 -4.703 2.623
Ho 13.043 -9.469 10.120
Ho 2.782 -3.349 1.286
Ho 2.912 -5.129 4.429
Ho 12.912 -7.689 6.977
Tm 8.892 -5.800 8.399
Tm 6.932 -7.018 3.008
```

Output
**Space-group type**: C2/m, No. 12
**Calculated total energy**: -4.481 eV per atom
**Formation energy from the elements**: 0.15 eV/atom
**ΔE to the lowest computed polymorph**: 0.047 eV/atom

***

[2]
Ba2CdAsP | PBE | optimized geometry

```
10
Lattice="4.701 0.000 0.000 0.000 6.997 0.955 0.000 -1.861 9.723" Properties=species:S:1:pos:R:3 pbc="T T T"
Ba 3.526 4.748 7.029
Ba 3.526 5.070 1.563
Ba 1.175 0.388 3.649
Ba 1.175 0.065 9.115
Cd 1.175 2.336 6.607
Cd 3.526 2.799 4.071
As 1.175 3.671 9.070
As 3.526 1.464 1.608
P 1.175 4.151 4.520
P 3.526 0.984 6.158
```

Output
**Space-group type**: P2_1/m, No. 11
**Calculated total energy**: -3.793 eV per atom
**Formation energy from the elements**: -0.83 eV/atom

***

[3]
NdDy3Th2Bi6 | PBE | optimized geometry

```
12
Lattice="4.548 0.000 0.000 0.000 9.056 0.342 -2.274 -2.589 9.537" Properties=species:S:1:pos:R:3 pbc="T T T"
Nd 2.274 0.000 0.000
Dy 2.274 4.528 0.171
Dy 2.274 -0.227 6.435
Dy 0.000 6.694 3.444
Th 2.274 4.322 6.612
Th 0.000 2.145 3.267
Bi 0.000 6.630 6.629
Bi 2.274 4.473 3.352
Bi 2.274 -0.163 3.250
Bi 2.274 -0.265 9.587
Bi 0.000 6.732 0.292
Bi 0.000 1.994 6.527
```

Output
**Space-group type**: C2/m, No. 12
**Calculated total energy**: -5.506 eV per atom
**Formation energy from the elements**: -0.78 eV/atom

***

[4]
HfAsW | PBE | optimized geometry

```
6
Lattice="-2.759 0.192 -1.987 3.421 -3.722 -5.109 -1.465 -3.655 1.682" Properties=species:S:1:pos:R:3 pbc="T T T"
As 2.473 -2.690 -3.693
As -1.164 -2.763 -1.569
Hf 1.180 -1.284 -1.763
Hf 0.128 -4.169 -3.499
W 2.673 -5.532 -4.245
W -1.364 0.079 -1.017
```

Output
**Space-group type**: Pmmn, No. 59
**Calculated total energy**: -9.574 eV per atom
**Formation energy from the elements**: -0.39 eV/atom

***

[5]
Na2CaBO4 | PBE | optimized geometry

```
8
Lattice="-3.279 4.112 1.987 -3.270 -0.529 3.651 1.218 3.030 3.694" Properties=species:S:1:pos:R:3 pbc="T T T"
Na -1.026 1.250 3.673
Na -2.666 3.306 4.666
Ca 0.000 0.000 0.000
B -1.640 2.056 0.994
O -1.644 0.643 1.508
O -1.793 5.408 4.160
O -1.259 2.975 2.121
O -3.915 1.699 3.530
```

Output
**Space-group type**: I-42m, No. 121
**Calculated total energy**: -5.788 eV per atom
**ΔE_f (raw)**: -1894 meV per atom

***

[6]
LiDyRhF6 | PBE | optimized geometry

```
18
Lattice="5.483 0.000 0.000 -2.741 4.748 0.000 0.000 0.000 9.327" Properties=species:S:1:pos:R:3 pbc="T T T"
Li 0.000 0.000 0.000
Li 0.000 0.000 4.663
Dy 0.000 3.166 2.332
Dy 2.741 1.583 6.995
Rh 2.741 1.583 2.332
Rh 0.000 3.166 6.995
F 1.870 3.184 1.154
F 4.563 1.537 1.154
F -0.951 4.720 5.817
F -1.822 3.212 8.173
F 0.920 1.537 3.510
F 3.612 3.184 3.510
F 0.951 4.720 8.173
F 3.692 0.028 3.510
F -0.871 1.565 5.817
F 1.791 0.028 1.154
F 1.822 3.212 5.817
F 0.871 1.565 8.173
```

Output
**Space-group type**: P-31c, No. 163
**Calculated total energy**: -5.517 eV per atom
**ΔE_f (raw)**: -2729 meV per atom